1.
The following is a DFT calculation (PBE-GGA) of Pm2Pd6Au after structural relaxation.

Unit cell a=6.521 b=6.521 c=6.937 alpha=107.59 beta=107.59 gamma=36.92
Atoms (fractional coordinates):
Pm: 0.069 0.069 0.329
Pm: 0.931 0.931 0.671
Pd: 0.171 0.171 0.001
Pd: 0.273 0.273 0.688
Pd: 0.386 0.386 0.322
Pd: 0.614 0.614 0.678
Pd: 0.727 0.727 0.312
Pd: 0.829 0.829 0.999
Au: 0.500 0.500 0.000

Output
DOS at the Fermi energy ... 3.53 states/eV per cell
Relative energy among the computed polymorphs ... 0 kJ/mol of formula units
DFT formation energy ... -580.6 meV per atom
DFT total energy ... -49.2 eV for the cell shown

---

2.
The following is a DFT calculation (PBE-GGA) of PmPdAu2 after structural relaxation.

Unit cell a=4.407 b=4.407 c=4.212 alpha=90.00 beta=90.00 gamma=90.00
Atoms (fractional coordinates):
Pm: 0.000 0.000 0.000
Pd: 0.500 0.500 0.000
Au: 0.000 0.500 0.500
Au: 0.500 0.000 0.500

Output
DOS at the Fermi energy ... 2.78 states/eV per cell
Relative energy among the computed polymorphs ... 49 kJ/mol of formula units
DFT formation energy ... -582.8 meV per atom
DFT total energy ... -18.8 eV for the cell shown

---

3.
The following is a DFT calculation (PBE-GGA) of Pm2PdAu after structural relaxation.

Unit cell a=5.161 b=5.161 c=5.161 alpha=60.00 beta=60.00 gamma=60.00
Atoms (fractional coordinates):
Pm: 0.250 0.250 0.250
Pm: 0.750 0.750 0.750
Pd: 0.000 0.000 0.000
Au: 0.500 0.500 0.500

Output
DOS at the Fermi energy ... 4.23 states/eV per cell
DFT formation energy ... -770.8 meV per atom
DFT total energy ... -21.1 eV for the cell shown

---

Q: Number 1 is which compound?
A: Pm2Pd6Au

---

Q: Among the records above, which one has the highest DFT formation energy?
A: Pm2Pd6Au